Record 1
## PmSm5Y6 (PBE)

Data for a relaxed structure of PmSm5Y6.

Computed properties:
For the total DFT energy (no corrections), the calculation gives -5.578 eV/atom. As for the density of states at the Fermi level: 18.1 states/eV per cell. The crystal system is monoclinic. For the size of the total moment, the calculation gives 0.00 μB per cell.

Cell: 6.2369 8.0424 8.0424 Å, 84.51 97.52 97.52°
Fractional positions:
Sm: 0.0000 0.3335 0.6665
Sm: 0.5000 0.5000 0.5000
Y: 0.7501 0.9167 0.5833
Y: 0.2499 0.0833 0.4167
Y: 0.2499 0.4167 0.0833
Pm: 0.0000 0.0000 0.0000
Sm: 0.5000 0.8331 0.1669
Sm: 0.5000 0.1669 0.8331
Y: 0.7496 0.2500 0.2500
Y: 0.2504 0.7500 0.7500
Sm: 0.0000 0.6665 0.3335
Y: 0.7501 0.5833 0.9167

=====

Record 2
## Pm12Sm3Y (PBE)

Data for a relaxed structure of Pm12Sm3Y.

Computed properties:
For the total DFT energy (no corrections), the calculation gives -4.839 eV/atom. As for the density of states at the Fermi level: 23.9 states/eV per cell. The crystal system is tetragonal. For the size of the total moment, the calculation gives 0.00 μB per cell.

Cell: 5.1521 5.1521 20.5839 Å, 90.00 90.00 90.00°
Fractional positions:
Sm: 0.0000 0.0000 0.5000
Y: 0.0000 0.0000 0.0000
Pm: 0.0000 0.5000 0.8755
Pm: 0.5000 0.0000 0.3748
Pm: 0.5000 0.5000 0.2493
Sm: 0.0000 0.0000 0.7506
Pm: 0.5000 0.0000 0.6252
Pm: 0.5000 0.0000 0.1245
Pm: 0.5000 0.5000 0.0000
Pm: 0.0000 0.5000 0.1245
Pm: 0.0000 0.5000 0.6252
Sm: 0.0000 0.0000 0.2494
Pm: 0.0000 0.5000 0.3748
Pm: 0.5000 0.0000 0.8755
Pm: 0.5000 0.5000 0.7507
Pm: 0.5000 0.5000 0.5000

=====

Record 3
## Pm7Sm3Y (PBE)

Data for a relaxed structure of Pm7Sm3Y.

Computed properties:
For the total DFT energy (no corrections), the calculation gives -4.780 eV/atom. As for the density of states at the Fermi level: 14.9 states/eV per cell. The crystal system is monoclinic. For the size of the total moment, the calculation gives 0.00 μB per cell.

Cell: 9.0932 10.1447 5.6750 Å, 90.00 128.63 105.99°
Fractional positions:
Pm: 0.1840 0.3623 0.6840
Pm: 0.9140 0.8288 0.9140
Pm: 0.6461 0.2904 0.1461
Sm: 0.0000 0.5000 0.0000
Pm: 0.8160 0.6377 0.3160
Sm: 0.2190 0.0000 0.7194
Pm: 0.3539 0.7096 0.8539
Sm: 0.7810 0.0000 0.2806
Pm: 0.0860 0.1712 0.0860
Y: 0.5000 0.5000 0.5000
Pm: 0.5000 0.0000 0.5000